No. 1
Density functional theory data (PBE) for a relaxed TaIr2Ru2 crystal. Values from VASP.

```
&SYSTEM
  ibrav = 0, nat = 10, ntyp = 3
/
ATOMIC_SPECIES
Ta 180.95 Ta.upf
Ir 192.22 Ir.upf
Ru 101.07 Ru.upf
ATOMIC_POSITIONS crystal
Ta 0.000 0.000 0.000
Ta 0.500 0.500 0.000
Ir 0.125 0.375 0.000
Ir 0.375 0.875 0.000
Ir 0.625 0.125 0.000
Ir 0.875 0.625 0.000
Ru 0.173 0.673 0.500
Ru 0.327 0.173 0.500
Ru 0.673 0.827 0.500
Ru 0.827 0.327 0.500
CELL_PARAMETERS angstrom
7.443 0.000 0.000
0.000 7.443 0.000
0.000 0.000 2.793
```

Calculated values
**Fermi-level density of states**: 11.69 states/eV per cell
**Energy relative to the elements**: 2 meV/atom

***

No. 2
Density functional theory data (PBE) for a relaxed TaIr2Ru crystal. Values from VASP.

```
&SYSTEM
  ibrav = 0, nat = 12, ntyp = 3
/
ATOMIC_SPECIES
Ta 180.95 Ta.upf
Ir 192.22 Ir.upf
Ru 101.07 Ru.upf
ATOMIC_POSITIONS crystal
Ta 0.000 0.000 0.000
Ta 0.333 0.667 0.667
Ta 0.667 0.333 0.333
Ir 0.000 0.000 0.249
Ir 0.000 0.000 0.499
Ir 0.333 0.667 0.166
Ir 0.333 0.667 0.916
Ir 0.667 0.333 0.583
Ir 0.667 0.333 0.833
Ru 0.000 0.000 0.754
Ru 0.333 0.667 0.421
Ru 0.667 0.333 0.087
CELL_PARAMETERS angstrom
2.782 0.000 0.000
-1.391 2.409 0.000
0.000 0.000 27.334
```

Calculated values
**Fermi-level density of states**: 12.01 states/eV per cell
**ΔE to the lowest computed polymorph**: 515.4 meV per atom
**Energy relative to the elements**: -49 meV/atom

***

No. 3
Density functional theory data (PBE) for a relaxed TaIr2Ru crystal. Values from VASP.

```
&SYSTEM
  ibrav = 0, nat = 16, ntyp = 3
/
ATOMIC_SPECIES
Ta 180.95 Ta.upf
Ir 192.22 Ir.upf
Ru 101.07 Ru.upf
ATOMIC_POSITIONS crystal
Ta 0.000 0.000 0.000
Ta 0.000 0.500 0.500
Ta 0.500 0.000 0.500
Ta 0.500 0.500 0.000
Ir 0.000 0.000 0.500
Ir 0.000 0.500 0.000
Ir 0.250 0.250 0.250
Ir 0.250 0.750 0.750
Ir 0.500 0.000 0.000
Ir 0.500 0.500 0.500
Ir 0.750 0.250 0.750
Ir 0.750 0.750 0.250
Ru 0.250 0.250 0.750
Ru 0.250 0.750 0.250
Ru 0.750 0.250 0.250
Ru 0.750 0.750 0.750
CELL_PARAMETERS angstrom
6.288 0.000 0.000
0.000 6.288 0.000
0.000 0.000 6.288
```

Calculated values
**Fermi-level density of states**: 32.58 states/eV per cell
**ΔE to the lowest computed polymorph**: 594.9 meV per atom
**Energy relative to the elements**: 31 meV/atom

***

No. 4
Density functional theory data (PBE) for a relaxed TaIr3Ru crystal. Values from VASP.

```
&SYSTEM
  ibrav = 0, nat = 5, ntyp = 3
/
ATOMIC_SPECIES
Ta 180.95 Ta.upf
Ir 192.22 Ir.upf
Ru 101.07 Ru.upf
ATOMIC_POSITIONS crystal
Ta 0.000 0.000 0.000
Ir 0.000 0.500 0.500
Ir 0.500 0.000 0.500
Ir 0.500 0.500 0.000
Ru 0.500 0.500 0.500
CELL_PARAMETERS angstrom
4.628 0.000 0.000
0.000 4.628 0.000
0.000 0.000 4.628
```

Calculated values
**Fermi-level density of states**: 8.05 states/eV per cell
**ΔE to the lowest computed polymorph**: 921.2 meV per atom
**Energy relative to the elements**: 1814 meV/atom

***

No. 5
Density functional theory data (PBE) for a relaxed TaIr2Ru crystal. Values from VASP.

```
&SYSTEM
  ibrav = 0, nat = 4, ntyp = 3
/
ATOMIC_SPECIES
Ta 180.95 Ta.upf
Ir 192.22 Ir.upf
Ru 101.07 Ru.upf
ATOMIC_POSITIONS crystal
Ta 0.000 0.000 0.000
Ir 0.500 0.500 0.261
Ir 0.500 0.500 0.739
Ru 0.000 0.000 0.500
CELL_PARAMETERS angstrom
2.800 0.000 0.000
0.000 3.871 0.000
0.000 0.000 5.590
```

Calculated values
**Fermi-level density of states**: 3.42 states/eV per cell
**ΔE to the lowest computed polymorph**: 193.8 meV per atom
**Energy relative to the elements**: -370 meV/atom

***

No. 6
Density functional theory data (PBE) for a relaxed TaIrRu crystal. Values from VASP.

```
&SYSTEM
  ibrav = 0, nat = 6, ntyp = 3
/
ATOMIC_SPECIES
Ta 180.95 Ta.upf
Ir 192.22 Ir.upf
Ru 101.07 Ru.upf
ATOMIC_POSITIONS crystal
Ta 0.333 0.667 0.250
Ta 0.667 0.333 0.750
Ir 0.333 0.667 0.750
Ir 0.667 0.333 0.250
Ru 0.000 0.000 0.000
Ru 0.000 0.000 0.500
CELL_PARAMETERS angstrom
4.447 0.000 0.000
-2.224 3.851 0.000
0.000 0.000 5.489
```

Calculated values
**Fermi-level density of states**: 3.63 states/eV per cell
**ΔE to the lowest computed polymorph**: 0.0 meV per atom
**Energy relative to the elements**: -411 meV/atom

***

No. 7
Density functional theory data (PBE) for a relaxed TaIr3Ru crystal. Values from VASP.

```
&SYSTEM
  ibrav = 0, nat = 10, ntyp = 3
/
ATOMIC_SPECIES
Ta 180.95 Ta.upf
Ir 192.22 Ir.upf
Ru 101.07 Ru.upf
ATOMIC_POSITIONS crystal
Ta 0.000 0.000 0.000
Ta 0.500 0.500 0.000
Ir 0.000 0.500 0.000
Ir 0.250 0.250 0.000
Ir 0.250 0.750 0.000
Ir 0.500 0.000 0.000
Ir 0.750 0.250 0.000
Ir 0.750 0.750 0.000
Ru 0.000 0.500 0.500
Ru 0.500 0.000 0.500
CELL_PARAMETERS angstrom
5.643 0.000 0.000
0.000 8.804 0.000
-2.693 0.000 4.087
```

Calculated values
**Fermi-level density of states**: 14.86 states/eV per cell
**ΔE to the lowest computed polymorph**: 0.0 meV per atom
**Energy relative to the elements**: 892 meV/atom

***

No. 8
Density functional theory data (PBE) for a relaxed TaIr2Ru crystal. Values from VASP.

```
&SYSTEM
  ibrav = 0, nat = 16, ntyp = 3
/
ATOMIC_SPECIES
Ta 180.95 Ta.upf
Ir 192.22 Ir.upf
Ru 101.07 Ru.upf
ATOMIC_POSITIONS crystal
Ta 0.000 0.000 0.000
Ta 0.000 0.500 0.500
Ta 0.500 0.000 0.500
Ta 0.500 0.500 0.000
Ir 0.000 0.000 0.500
Ir 0.000 0.500 0.000
Ir 0.250 0.250 0.750
Ir 0.250 0.750 0.250
Ir 0.500 0.000 0.000
Ir 0.500 0.500 0.500
Ir 0.750 0.250 0.250
Ir 0.750 0.750 0.750
Ru 0.250 0.250 0.250
Ru 0.250 0.750 0.750
Ru 0.750 0.250 0.750
Ru 0.750 0.750 0.250
CELL_PARAMETERS angstrom
5.551 0.000 0.000
0.000 5.565 0.000
0.000 0.000 7.820
```

Calculated values
**Fermi-level density of states**: 12.95 states/eV per cell
**ΔE to the lowest computed polymorph**: 138.1 meV per atom
**Energy relative to the elements**: -426 meV/atom

***

No. 9
Density functional theory data (PBE) for a relaxed TaIr2Ru crystal. Values from VASP.

```
&SYSTEM
  ibrav = 0, nat = 4, ntyp = 3
/
ATOMIC_SPECIES
Ta 180.95 Ta.upf
Ir 192.22 Ir.upf
Ru 101.07 Ru.upf
ATOMIC_POSITIONS crystal
Ta 0.000 0.000 0.000
Ir 0.000 0.000 0.504
Ir 0.500 0.500 0.252
Ru 0.500 0.500 0.732
CELL_PARAMETERS angstrom
2.776 0.000 0.000
0.000 2.776 0.000
0.000 0.000 7.906
```

Calculated values
**Fermi-level density of states**: 4.22 states/eV per cell
**ΔE to the lowest computed polymorph**: 387.9 meV per atom
**Energy relative to the elements**: -176 meV/atom

***

No. 10
Density functional theory data (PBE) for a relaxed Ta4Ir5Ru4 crystal. Values from VASP.

```
&SYSTEM
  ibrav = 0, nat = 13, ntyp = 3
/
ATOMIC_SPECIES
Ta 180.95 Ta.upf
Ir 192.22 Ir.upf
Ru 101.07 Ru.upf
ATOMIC_POSITIONS crystal
Ta 0.137 0.231 0.368
Ta 0.231 0.863 0.094
Ta 0.769 0.137 0.906
Ta 0.863 0.769 0.632
Ir 0.000 0.000 0.000
Ir 0.309 0.455 0.764
Ir 0.455 0.691 0.146
Ir 0.545 0.309 0.854
Ir 0.691 0.545 0.236
Ru 0.078 0.606 0.684
Ru 0.394 0.078 0.472
Ru 0.606 0.922 0.528
Ru 0.922 0.394 0.316
CELL_PARAMETERS angstrom
-5.044 5.044 1.963
5.044 -5.044 1.963
5.044 5.044 -1.963
```

Calculated values
**Fermi-level density of states**: 7.61 states/eV per cell
**Energy relative to the elements**: -454 meV/atom

***

No. 11
Density functional theory data (PBE) for a relaxed TaIrRu2 crystal. Values from VASP.

```
&SYSTEM
  ibrav = 0, nat = 12, ntyp = 3
/
ATOMIC_SPECIES
Ta 180.95 Ta.upf
Ir 192.22 Ir.upf
Ru 101.07 Ru.upf
ATOMIC_POSITIONS crystal
Ta 0.000 0.000 0.000
Ta 0.333 0.667 0.667
Ta 0.667 0.333 0.333
Ir 0.000 0.000 0.752
Ir 0.333 0.667 0.418
Ir 0.667 0.333 0.085
Ru 0.000 0.000 0.245
Ru 0.000 0.000 0.501
Ru 0.333 0.667 0.167
Ru 0.333 0.667 0.912
Ru 0.667 0.333 0.579
Ru 0.667 0.333 0.834
CELL_PARAMETERS angstrom
2.777 0.000 0.000
-1.388 2.405 0.000
0.000 0.000 27.204
```

Calculated values
**Fermi-level density of states**: 13.59 states/eV per cell
**ΔE to the lowest computed polymorph**: 392.0 meV per atom
**Energy relative to the elements**: 1 meV/atom

***

No. 12
Density functional theory data (PBE) for a relaxed Ta4Ir5Ru crystal. Values from VASP.

```
&SYSTEM
  ibrav = 0, nat = 10, ntyp = 3
/
ATOMIC_SPECIES
Ta 180.95 Ta.upf
Ir 192.22 Ir.upf
Ru 101.07 Ru.upf
ATOMIC_POSITIONS crystal
Ta 0.250 0.250 0.000
Ta 0.310 0.000 0.310
Ta 0.690 0.000 0.690
Ta 0.750 0.750 0.000
Ir 0.027 0.344 0.684
Ir 0.340 0.656 0.684
Ir 0.500 0.500 0.000
Ir 0.660 0.344 0.316
Ir 0.973 0.656 0.316
Ru 0.000 0.000 0.000
CELL_PARAMETERS angstrom
-2.080 4.092 4.929
2.080 -4.092 4.929
2.080 4.092 -4.929
```

Calculated values
**Fermi-level density of states**: 4.67 states/eV per cell
**Energy relative to the elements**: -259 meV/atom

***

No. 13
Density functional theory data (PBE) for a relaxed TaIr2Ru crystal. Values from VASP.

```
&SYSTEM
  ibrav = 0, nat = 4, ntyp = 3
/
ATOMIC_SPECIES
Ta 180.95 Ta.upf
Ir 192.22 Ir.upf
Ru 101.07 Ru.upf
ATOMIC_POSITIONS crystal
Ta 0.000 0.000 0.000
Ir 0.000 0.000 0.505
Ir 0.500 0.500 0.249
Ru 0.500 0.500 0.733
CELL_PARAMETERS angstrom
3.337 0.000 0.000
0.000 3.337 0.000
0.000 0.000 5.580
```

Calculated values
**Fermi-level density of states**: 4.44 states/eV per cell
**ΔE to the lowest computed polymorph**: 462.1 meV per atom
**Energy relative to the elements**: -102 meV/atom

***

No. 14
Density functional theory data (PBE) for a relaxed TaIr2Ru crystal. Values from VASP.

```
&SYSTEM
  ibrav = 0, nat = 4, ntyp = 3
/
ATOMIC_SPECIES
Ta 180.95 Ta.upf
Ir 192.22 Ir.upf
Ru 101.07 Ru.upf
ATOMIC_POSITIONS crystal
Ta 0.000 0.000 0.000
Ir 0.500 0.500 0.260
Ir 0.500 0.500 0.740
Ru 0.000 0.000 0.500
CELL_PARAMETERS angstrom
2.777 0.000 0.000
0.000 2.777 0.000
0.000 0.000 7.854
```

Calculated values
**Fermi-level density of states**: 3.60 states/eV per cell
**ΔE to the lowest computed polymorph**: 298.7 meV per atom
**Energy relative to the elements**: -265 meV/atom

***

No. 15
Density functional theory data (PBE) for a relaxed TaIr2Ru crystal. Values from VASP.

```
&SYSTEM
  ibrav = 0, nat = 8, ntyp = 3
/
ATOMIC_SPECIES
Ta 180.95 Ta.upf
Ir 192.22 Ir.upf
Ru 101.07 Ru.upf
ATOMIC_POSITIONS crystal
Ta 0.000 0.000 0.000
Ta 0.500 0.500 0.500
Ir 0.000 0.500 0.250
Ir 0.000 0.500 0.750
Ir 0.500 0.000 0.250
Ir 0.500 0.000 0.750
Ru 0.000 0.000 0.500
Ru 0.500 0.500 0.000
CELL_PARAMETERS angstrom
3.912 0.000 0.000
0.000 3.912 0.000
0.000 0.000 7.876
```

Calculated values
**Fermi-level density of states**: 5.18 states/eV per cell
**ΔE to the lowest computed polymorph**: 84.5 meV per atom
**Energy relative to the elements**: -480 meV/atom

***

No. 16
Density functional theory data (PBE) for a relaxed TaIr2Ru crystal. Values from VASP.

```
&SYSTEM
  ibrav = 0, nat = 12, ntyp = 3
/
ATOMIC_SPECIES
Ta 180.95 Ta.upf
Ir 192.22 Ir.upf
Ru 101.07 Ru.upf
ATOMIC_POSITIONS crystal
Ta 0.000 0.000 0.000
Ta 0.333 0.667 0.667
Ta 0.667 0.333 0.333
Ir 0.000 0.000 0.247
Ir 0.000 0.000 0.753
Ir 0.333 0.667 0.419
Ir 0.333 0.667 0.914
Ir 0.667 0.333 0.086
Ir 0.667 0.333 0.581
Ru 0.000 0.000 0.500
Ru 0.333 0.667 0.167
Ru 0.667 0.333 0.833
CELL_PARAMETERS angstrom
2.788 0.000 0.000
-1.394 2.415 0.000
0.000 0.000 27.119
```

Calculated values
**Fermi-level density of states**: 13.42 states/eV per cell
**ΔE to the lowest computed polymorph**: 455.0 meV per atom
**Energy relative to the elements**: -109 meV/atom

***

No. 17
Density functional theory data (PBE) for a relaxed Ta6Ir5Ru crystal. Values from VASP.

```
&SYSTEM
  ibrav = 0, nat = 12, ntyp = 3
/
ATOMIC_SPECIES
Ta 180.95 Ta.upf
Ir 192.22 Ir.upf
Ru 101.07 Ru.upf
ATOMIC_POSITIONS crystal
Ta 0.000 0.249 0.000
Ta 0.000 0.751 0.000
Ta 0.338 0.084 0.668
Ta 0.338 0.585 0.668
Ta 0.662 0.415 0.332
Ta 0.662 0.916 0.332
Ir 0.163 0.168 0.335
Ir 0.165 0.666 0.333
Ir 0.500 0.500 0.000
Ir 0.835 0.334 0.667
Ir 0.837 0.832 0.665
Ru 0.500 0.000 0.000
CELL_PARAMETERS angstrom
4.798 0.000 0.000
-0.006 5.817 0.000
-0.505 -2.892 6.934
```

Calculated values
**Fermi-level density of states**: 9.77 states/eV per cell
**Energy relative to the elements**: -534 meV/atom

***

No. 18
Density functional theory data (PBE) for a relaxed Ta4IrRu3 crystal. Values from VASP.

```
&SYSTEM
  ibrav = 0, nat = 16, ntyp = 3
/
ATOMIC_SPECIES
Ta 180.95 Ta.upf
Ir 192.22 Ir.upf
Ru 101.07 Ru.upf
ATOMIC_POSITIONS crystal
Ta 0.127 0.000 0.127
Ta 0.127 0.500 0.627
Ta 0.373 0.000 0.373
Ta 0.373 0.500 0.873
Ta 0.627 0.000 0.627
Ta 0.627 0.500 0.127
Ta 0.873 0.000 0.873
Ta 0.873 0.500 0.373
Ir 0.000 0.000 0.500
Ir 0.500 0.500 0.500
Ru 0.000 0.500 0.000
Ru 0.249 0.500 0.249
Ru 0.251 0.000 0.751
Ru 0.500 0.000 0.000
Ru 0.749 0.000 0.249
Ru 0.751 0.500 0.751
CELL_PARAMETERS angstrom
14.899 0.000 0.000
0.000 4.248 0.000
-1.202 0.000 4.075
```

Calculated values
**Fermi-level density of states**: 15.81 states/eV per cell
**Energy relative to the elements**: -358 meV/atom

***

No. 19
Density functional theory data (PBE) for a relaxed TaIrRu2 crystal. Values from VASP.

```
&SYSTEM
  ibrav = 0, nat = 4, ntyp = 3
/
ATOMIC_SPECIES
Ta 180.95 Ta.upf
Ir 192.22 Ir.upf
Ru 101.07 Ru.upf
ATOMIC_POSITIONS crystal
Ta 0.000 0.000 0.000
Ir 0.000 0.000 0.500
Ru 0.500 0.500 0.262
Ru 0.500 0.500 0.738
CELL_PARAMETERS angstrom
2.772 0.000 0.000
0.000 2.772 0.000
0.000 0.000 7.866
```

Calculated values
**Fermi-level density of states**: 3.69 states/eV per cell
**ΔE to the lowest computed polymorph**: 330.7 meV per atom
**Energy relative to the elements**: -61 meV/atom

***

No. 20
Density functional theory data (PBE) for a relaxed TaIr2Ru crystal. Values from VASP.

```
&SYSTEM
  ibrav = 0, nat = 16, ntyp = 3
/
ATOMIC_SPECIES
Ta 180.95 Ta.upf
Ir 192.22 Ir.upf
Ru 101.07 Ru.upf
ATOMIC_POSITIONS crystal
Ta 0.000 0.000 0.000
Ta 0.000 0.500 0.500
Ta 0.500 0.000 0.500
Ta 0.500 0.500 0.000
Ir 0.250 0.250 0.250
Ir 0.250 0.250 0.750
Ir 0.250 0.750 0.250
Ir 0.250 0.750 0.750
Ir 0.750 0.250 0.250
Ir 0.750 0.250 0.750
Ir 0.750 0.750 0.250
Ir 0.750 0.750 0.750
Ru 0.000 0.000 0.500
Ru 0.000 0.500 0.000
Ru 0.500 0.000 0.000
Ru 0.500 0.500 0.500
CELL_PARAMETERS angstrom
6.303 0.000 0.000
0.000 6.303 0.000
0.000 0.000 6.303
```

Calculated values
**Fermi-level density of states**: 32.56 states/eV per cell
**ΔE to the lowest computed polymorph**: 627.2 meV per atom
**Energy relative to the elements**: 63 meV/atom